1.
The following is a PBE calculation of crystalline CaPdPt3 at its relaxed geometry, from Alexandria.

a = 4.869 Å, b = 4.869 Å, c = 4.869 Å
α = 90.00°, β = 90.00°, γ = 90.00°
Space group Pm-3m (No. 221)
One atom of each set of equivalent atoms:
Ca 0.000 0.000 0.000 [1 per cell]
Pd 0.500 0.500 0.500 [1 per cell]
Pt 0.000 0.000 0.500 [3 per cell]

Values from the calculation:
Size of the total moment   0.00 μB/f.u.
Energy above the most stable polymorph in this dataset   910 meV per atom
D(E_F)   4.024 states/eV/f.u.

2.
The following is a PBE calculation of crystalline Mn2TePt at its relaxed geometry, from Alexandria.

a = 3.532 Å, b = 3.549 Å, c = 5.553 Å
α = 90.00°, β = 90.00°, γ = 90.00°
Space group Pmm2 (No. 25)
One atom of each set of equivalent atoms:
Mn 0.000 0.000 0.000 [1 per cell]
Mn 0.500 0.500 0.274 [1 per cell]
Te 0.000 0.000 0.493 [1 per cell]
Pt 0.500 0.500 0.809 [1 per cell]

Values from the calculation:
Size of the total moment   7.46 μB/f.u.
Formation energy without anion corrections   0.054 eV per atom
D(E_F)   2.532 states/eV/f.u.

3.
The following is a PBE calculation of crystalline Be2CuH6 at its relaxed geometry, from Alexandria.

a = 5.822 Å, b = 5.822 Å, c = 5.822 Å
α = 90.00°, β = 90.00°, γ = 90.00°
Space group Fm-3m (No. 225)
One atom of each set of equivalent atoms:
Be 0.250 0.250 0.250 [8 per cell]
Cu 0.000 0.000 0.000 [4 per cell]
H 0.000 0.000 0.286 [24 per cell]

Values from the calculation:
Uncorrected energy   -2.90 eV per atom
Size of the total moment   0.00 μB/f.u.
D(E_F)   1.589 states/eV/f.u.

4.
The following is a PBE calculation of crystalline HoErCdSi at its relaxed geometry, from Alexandria.

a = 7.165 Å, b = 7.165 Å, c = 7.165 Å
α = 90.00°, β = 90.00°, γ = 90.00°
Space group F-43m (No. 216)
One atom of each set of equivalent atoms:
Ho 0.000 0.000 0.000 [4 per cell]
Er 0.000 0.000 0.500 [4 per cell]
Cd 0.250 0.250 0.750 [4 per cell]
Si 0.250 0.250 0.250 [4 per cell]

Values from the calculation:
Size of the total moment   0.00 μB/f.u.
Formation energy without anion corrections   -0.372 eV per atom
D(E_F)   2.850 states/eV/f.u.

5.
The following is a PBE calculation of crystalline Li2InSi at its relaxed geometry, from Alexandria.

a = 4.070 Å, b = 4.070 Å, c = 8.298 Å
α = 90.00°, β = 90.00°, γ = 90.00°
Space group I4/mmm (No. 139)
One atom of each set of equivalent atoms:
Li 0.000 0.500 0.250 [4 per cell]
In 0.000 0.000 0.000 [2 per cell]
Si 0.000 0.000 0.500 [2 per cell]

Values from the calculation:
Size of the total moment   0.00 μB/f.u.
Formation energy without anion corrections   -0.138 eV per atom
D(E_F)   0.969 states/eV/f.u.

6.
The following is a PBE calculation of crystalline KMgSb2Te at its relaxed geometry, from Alexandria.

a = 5.475 Å, b = 5.475 Å, c = 5.787 Å
α = 90.00°, β = 90.00°, γ = 90.00°
Space group P4/mmm (No. 123)
One atom of each set of equivalent atoms:
K 0.000 0.000 0.000 [1 per cell]
Mg 0.500 0.500 0.500 [1 per cell]
Sb 0.000 0.500 0.500 [2 per cell]
Te 0.500 0.500 0.000 [1 per cell]

Values from the calculation:
Size of the total moment   0.00 μB/f.u.
Formation energy without anion corrections   -0.019 eV per atom
Energy above the most stable polymorph in this dataset   0 meV per atom
D(E_F)   3.865 states/eV/f.u.